ZrCoPt2: optimized geometry, GGA-PBE.

The structure in POSCAR format:
```
ZrCoPt2
1.0
1.418 0.819 9.210
-1.418 0.819 9.210
0.000 -1.638 9.210
Zr Co Pt
1 1 2
Direct
0.000 0.000 0.000
0.752 0.752 0.752
0.247 0.247 0.247
0.493 0.493 0.493
```

Space group: R3m
ρ in Mg/m³: 14.0
ΔE_f in meV per atom: -92